1.
A plane-wave DFT calculation with PBE-GGA was carried out for an optimized crystal structure of TmHfC2.

Symmetry: R-3m, No. 166
Energy of formation, eV per atom: -0.51

a = 3.378 Å, b = 3.378 Å, c = 5.942 Å
α = 73.49°, β = 73.49°, γ = 60.00°
Positions (direct):
Tm 0.500 0.500 0.500
Hf 0.000 0.000 0.000
C 0.257 0.257 0.230
C 0.743 0.743 0.770

=====

2.
A plane-wave DFT calculation with PBE-GGA was carried out for an optimized crystal structure of LiCN.

Symmetry: P2_1/c, No. 14
E_form (uncorrected), eV/f.u.: -0.2

a = 4.222 Å, b = 4.600 Å, c = 4.628 Å
α = 86.91°, β = 90.00°, γ = 90.00°
Positions (direct):
C 0.127 0.903 0.529
N 0.824 0.228 0.184
C 0.373 0.903 0.029
C 0.873 0.097 0.471
N 0.676 0.228 0.684
N 0.176 0.772 0.816
Li 0.626 0.677 0.660
N 0.324 0.772 0.316
Li 0.374 0.323 0.340
C 0.627 0.097 0.971
Li 0.874 0.677 0.160
Li 0.126 0.323 0.840

=====

3.
A plane-wave DFT calculation with PBE-GGA was carried out for an optimized crystal structure of BaAcNd2.

Symmetry: P4/mmm, No. 123
Energy of formation, eV per atom: 0.11

a = 3.891 Å, b = 3.891 Å, c = 11.191 Å
α = 90.00°, β = 90.00°, γ = 90.00°
Positions (direct):
Ac 0.500 0.500 0.000
Nd 0.000 0.000 0.772
Nd 0.000 0.000 0.228
Ba 0.500 0.500 0.500

=====

4.
A plane-wave DFT calculation with PBE-GGA was carried out for an optimized crystal structure of Sr2IrAu.

Symmetry: P4mm, No. 99
Energy of formation, eV per atom: 0.01

a = 3.723 Å, b = 3.723 Å, c = 8.632 Å
α = 90.00°, β = 90.00°, γ = 90.00°
Positions (direct):
Sr 0.500 0.500 0.346
Ir 0.500 0.500 0.689
Sr 0.000 0.000 0.906
Au 0.000 0.000 0.559

=====

5.
A plane-wave DFT calculation with PBE-GGA was carried out for an optimized crystal structure of LiBSe2.

Symmetry: P4/mmm, No. 123
E_form (uncorrected), eV/f.u.: 2.3

a = 6.080 Å, b = 6.080 Å, c = 5.463 Å
α = 56.19°, β = 56.19°, γ = 90.00°
Positions (direct):
B 0.250 0.250 0.500
Se 0.750 0.250 0.000
B 0.750 0.750 0.500
Se 0.250 0.750 0.000
Se 0.750 0.750 0.000
Li 0.750 0.250 0.500
Se 0.250 0.250 0.000
Li 0.250 0.750 0.500

=====

6.
A plane-wave DFT calculation with PBE-GGA was carried out for an optimized crystal structure of Dy3Pt4Au.

Symmetry: Immm, No. 71
Energy of formation, eV per atom: -0.98

a = 3.840 Å, b = 6.772 Å, c = 7.929 Å
α = 115.28°, β = 104.01°, γ = 90.00°
Positions (direct):
Dy 0.000 0.500 0.000
Au 0.500 0.000 0.000
Pt 0.630 0.435 0.260
Dy 0.821 0.821 0.641
Pt 0.370 0.565 0.740
Pt 0.370 0.174 0.740
Dy 0.179 0.179 0.359
Pt 0.630 0.826 0.260

=====

7.
A plane-wave DFT calculation with PBE-GGA was carried out for an optimized crystal structure of NiGeP2Cl.

Symmetry: P4/mmm, No. 123
E_form (uncorrected), eV/f.u.: 5.3

a = 4.716 Å, b = 4.716 Å, c = 4.795 Å
α = 90.00°, β = 90.00°, γ = 90.00°
Positions (direct):
P 0.000 0.500 0.000
P 0.500 0.000 0.000
Ge 0.000 0.000 0.000
Ni 0.500 0.500 0.500
Cl 0.000 0.000 0.500

=====

8.
A plane-wave DFT calculation with PBE-GGA was carried out for an optimized crystal structure of Be2FeCu.

Symmetry: Immm, No. 71
Energy of formation, eV per atom: 0.09

a = 4.438 Å, b = 4.438 Å, c = 4.437 Å
α = 145.61°, β = 125.73°, γ = 65.87°
Positions (direct):
Cu 0.250 0.750 0.500
Be 0.497 0.497 0.000
Fe 0.750 0.250 0.500
Be 0.003 0.003 0.000

=====

9.
A plane-wave DFT calculation with PBE-GGA was carried out for an optimized crystal structure of CaRe2Si.

Symmetry: Immm, No. 71
E_form (uncorrected), eV/f.u.: 1.3

a = 5.734 Å, b = 5.734 Å, c = 5.734 Å
α = 152.04°, β = 130.02°, γ = 58.24°
Positions (direct):
Re 0.542 0.542 0.000
Re 0.958 0.958 0.000
Ca 0.250 0.750 0.500
Si 0.750 0.250 0.500

=====

10.
A plane-wave DFT calculation with PBE-GGA was carried out for an optimized crystal structure of Ac2PaPbO8.

Symmetry: P-1, No. 2
E_form (uncorrected), eV/f.u.: -31.4

a = 3.965 Å, b = 5.746 Å, c = 8.312 Å
α = 95.24°, β = 89.98°, γ = 90.09°
Positions (direct):
O 0.501 0.782 0.523
Ac 0.500 0.486 0.252
O 0.498 0.230 0.973
Pa 0.000 0.000 0.500
O 0.001 0.734 0.306
O 0.999 0.266 0.694
O 0.502 0.770 0.027
O 0.999 0.191 0.236
Pb 0.000 0.000 0.000
Ac 0.500 0.514 0.748
O 0.499 0.218 0.477
O 0.001 0.809 0.764